Computed, not measured: a geometry-optimized NbMo2O6 structure at the GGA+U level of DFT.

Summary:
Calculated density   5.67 g/cm³
Magnetization   10.00 Bohr magnetons per cell
DFT total energy   -8.025 eV/atom
Space group   P4_2/mnm

Cell lengths 4.8190, 4.8190, 9.6030 Å; angles 90.00, 90.00, 90.00 degrees
Atoms (fractional coordinates):
O (0.1945, 0.8055, 0.6595)
O (0.3055, 0.3055, 0.8405)
Nb (0.0000, 0.0000, 0.5000)
O (0.6945, 0.6945, 0.1595)
O (0.7009, 0.7009, 0.5000)
Mo (0.0000, 0.0000, 0.1667)
O (0.2991, 0.2991, 0.5000)
Nb (0.5000, 0.5000, 0.0000)
Mo (0.0000, 0.0000, 0.8333)
O (0.8055, 0.1945, 0.6595)
O (0.3055, 0.3055, 0.1595)
O (0.1945, 0.8055, 0.3405)
O (0.7991, 0.2009, 0.0000)
Mo (0.5000, 0.5000, 0.6667)
O (0.2009, 0.7991, 0.0000)
O (0.8055, 0.1945, 0.3405)
O (0.6945, 0.6945, 0.8405)
Mo (0.5000, 0.5000, 0.3333)